Compound: Na2CoTcO4
Source: Alexandria via LeMat-Bulk
Functional: PBE with a Hubbard U
Structure: relaxed Values from VASP.

Summary:
Electronic total energy = -6.004 eV per atom
D(E_F) = 0.05 states/eV/atom

Quantum ESPRESSO input file:
```
&SYSTEM
  ibrav = 0, nat = 8, ntyp = 4
/
ATOMIC_SPECIES
Na 22.99 Na.upf
Co 58.93 Co.upf
Tc 98.00 Tc.upf
O 16.00 O.upf
CELL_PARAMETERS angstrom
-2.0227 -1.8651 -4.5072
5.2202 0.7894 0.1049
-0.1468 -3.2286 4.1761
ATOMIC_POSITIONS crystal
Na 0.5000 0.7500 0.2500
Na 0.0000 0.0000 0.0000
Co 0.5000 0.2500 0.7500
Tc 0.0000 0.5000 0.5000
O 0.5598 0.3466 0.4202
O 0.0736 0.2133 0.6534
O 0.9264 0.5798 0.1397
O 0.4402 0.8603 0.7867
```